Compound: ZrSnB2
Source: Alexandria via LeMat-Bulk
Functional: PBE-GGA
Structure: optimized geometry

Lattice parameters (Å, degrees): 5.486 5.486 5.486 110.95 110.95 106.55
Fractional coordinates of all 8 atoms:
Zr1 0.000 0.000 0.000
Zr2 0.750 0.250 0.500
Sn1 0.250 0.750 0.500
Sn2 0.500 0.500 0.000
B1 0.140 0.625 0.015
B2 0.375 0.390 0.515
B3 0.610 0.125 0.985
B4 0.875 0.860 0.485

Values from the calculation:
Crystal system: tetragonal
SG: No. 122
Formation energy (eV/atom): 0.524
D(E_F) (states/eV per cell): 4.3
Total moment (μB per atom): 0.000
Total energy (eV for the cell shown): -47.6